# 1
3
Lattice="2.604 0.000 0.000 -1.302 2.255 0.000 0.000 0.000 7.117" Properties=species:S:1:pos:R:3 comment="Li2Fe GGA-PBE relaxed" vol_a3_per_atom=13.93 density_g_cm3=2.77 space_group="No. 164" formation_energy_ev_per_fu=0.66 n_ef_per_ev_atom=0.830 pbc="T T T"
Fe 0.000 0.000 0.000
Li 1.302 0.752 4.870
Li 0.000 1.503 2.247

# 2
4
Lattice="4.739 0.000 0.000 2.370 4.104 0.000 2.370 1.368 3.869" Properties=species:S:1:pos:R:3 comment="LiLu2Fe GGA-PBE relaxed" vol_a3_per_atom=18.82 density_g_cm3=9.11 de_polymorph_mev_per_atom=49 space_group="No. 225" formation_energy_ev_per_fu=0.14 n_ef_per_ev_atom=0.778 pbc="T T T"
Lu 2.370 1.368 0.967
Lu 7.109 4.104 2.902
Fe 4.739 2.736 1.935
Li 0.000 0.000 0.000

# 3
4
Lattice="3.265 0.000 0.000 0.000 3.265 0.000 0.000 0.000 8.026" Properties=species:S:1:pos:R:3 comment="LiLu2Fe GGA-PBE relaxed" vol_a3_per_atom=21.39 density_g_cm3=8.01 de_polymorph_mev_per_atom=0 space_group="No. 123" formation_energy_ev_per_fu=-0.06 n_ef_per_ev_atom=0.643 pbc="T T T"
Lu 0.000 0.000 6.459
Lu 0.000 0.000 1.566
Fe 1.632 1.632 0.000
Li 1.632 1.632 4.013

# 4
5
Lattice="5.111 0.000 0.000 0.000 5.111 0.000 0.000 0.000 5.111" Properties=species:S:1:pos:R:3 comment="LiLu3Fe GGA-PBE relaxed" vol_a3_per_atom=26.70 density_g_cm3=7.31 space_group="No. 221" formation_energy_ev_per_fu=0.48 n_ef_per_ev_atom=0.779 pbc="T T T"
Lu 0.000 2.555 0.000
Lu 0.000 0.000 2.555
Lu 2.555 0.000 0.000
Fe 0.000 0.000 0.000
Li 2.555 2.555 2.555

# 5
4
Lattice="-1.710 1.265 -3.991 -1.139 -3.125 -3.065 -4.358 -0.765 -0.938" Properties=species:S:1:pos:R:3 comment="LiLuNbFe GGA-PBE relaxed" vol_a3_per_atom=16.35 density_g_cm3=8.39 space_group="No. 216" formation_energy_ev_per_fu=0.55 n_ef_per_ev_atom=0.779 pbc="T T T"
Nb -3.603 -1.312 -3.997
Lu 0.000 0.000 0.000
Fe -1.802 -0.656 -1.999
Li -5.405 -1.968 -5.996

- Number 1 is which compound?
  Li2Fe